# 1
# TcRu2W

TcRu2W after structural relaxation (GGA-PBEsol, Alexandria).

Summary:
Distance to the lowest polymorph of the same formula ... 103 meV/atom
N(E_F) ... 1.07 states/eV/atom
Calculated formation energy ... 0.12 eV per atom

Cell and atoms, written as CIF:
```
data_TcRu2W
_symmetry_space_group_name_H-M 'P 4 m m'
_symmetry_Int_Tables_number 99
_symmetry_space_group_name_Hall 'P 4 -2'
_cell_length_a 2.707
_cell_length_b 2.707
_cell_length_c 7.717
_cell_angle_alpha 90.00
_cell_angle_beta 90.00
_cell_angle_gamma 90.00
loop_
_atom_site_label
_atom_site_type_symbol
_atom_site_fract_x
_atom_site_fract_y
_atom_site_fract_z
_atom_site_occupancy
Tc1 Tc 0.000 0.000 0.000 1
Ru1 Ru 0.000 0.000 0.518 1
Ru2 Ru 0.500 0.500 0.765 1
W1 W 0.500 0.500 0.268 1
```

=====

# 2
# Tc2RuW

Tc2RuW after structural relaxation (GGA-PBEsol, Alexandria).

Summary:
Distance to the lowest polymorph of the same formula ... 112 meV/atom
N(E_F) ... 1.18 states/eV/atom
Calculated formation energy ... 0.18 eV per atom

Cell and atoms, written as CIF:
```
data_Tc2RuW
_symmetry_space_group_name_H-M 'R -3 m'
_symmetry_Int_Tables_number 166
_symmetry_space_group_name_Hall '-R 3 2"'
_cell_length_a 2.7207
_cell_length_b 2.7207
_cell_length_c 26.8368
_cell_angle_alpha 90.00
_cell_angle_beta 90.00
_cell_angle_gamma 120.00
loop_
_atom_site_label
_atom_site_type_symbol
_atom_site_fract_x
_atom_site_fract_y
_atom_site_fract_z
_atom_site_occupancy
Tc1 Tc 0.0000 0.0000 0.2471 1
Ru1 Ru 0.0000 0.0000 0.5000 1
W1 W 0.0000 0.0000 0.0000 1
```

=====

# 3
# TcRuW

TcRuW after structural relaxation (GGA-PBEsol, Alexandria).

Summary:
Distance to the lowest polymorph of the same formula ... 581 meV/atom
N(E_F) ... 1.09 states/eV/atom
Calculated formation energy ... 0.86 eV per atom

Cell and atoms, written as CIF:
```
data_TcRuW
_symmetry_space_group_name_H-M 'F -4 3 m'
_symmetry_Int_Tables_number 216
_symmetry_space_group_name_Hall 'F -4 2 3'
_cell_length_a 5.872
_cell_length_b 5.872
_cell_length_c 5.872
_cell_angle_alpha 90.00
_cell_angle_beta 90.00
_cell_angle_gamma 90.00
loop_
_atom_site_label
_atom_site_type_symbol
_atom_site_fract_x
_atom_site_fract_y
_atom_site_fract_z
_atom_site_occupancy
Tc1 Tc 0.000 0.000 0.000 1
Ru1 Ru 0.250 0.250 0.250 1
W1 W 0.250 0.250 0.750 1
```